4
Lattice="2.718 0.001 0.000 -1.150 2.463 0.000 0.000 0.000 8.573" Properties=species:S:1:pos:R:3 comment="meta-GGA SCAN AlMoOs2, PBEsol geometry" crystal_system=orthorhombic dft_energy_ev_per_atom=-46.571 sg=Cmmm delta_e_f_mev_per_atom=28 pbc="T T T"
Mo 0.784 1.232 0.000
Os 0.000 0.000 2.209
Os 0.000 0.000 6.364
Al 0.784 1.232 4.287

4
Lattice="-0.216 -3.664 0.843 1.573 -0.855 -3.313 3.081 2.438 2.974" Properties=species:S:1:pos:R:3 comment="meta-GGA SCAN AlMo2Os, PBEsol geometry" crystal_system=tetragonal dft_energy_ev_per_atom=-37.385 sg=I-4m2 delta_e_f_mev_per_atom=-35 pbc="T T T"
Mo 0.000 0.000 0.000
Os 0.679 -2.259 -1.235
Al 2.667 -0.338 -0.787
Mo 1.772 -1.743 1.291

5
Lattice="4.673 0.000 0.000 0.000 4.673 0.000 0.000 0.000 4.673" Properties=species:S:1:pos:R:3 comment="meta-GGA SCAN AlMo3Os, PBEsol geometry" crystal_system=cubic dft_energy_ev_per_atom=-35.324 sg=Pm-3m delta_e_f_mev_per_atom=1533 pbc="T T T"
Os 0.000 0.000 0.000
Al 2.337 2.337 2.337
Mo 0.000 0.000 2.337
Mo 0.000 2.337 0.000
Mo 2.337 0.000 0.000

4
Lattice="-0.012 -1.024 2.861 -2.720 -3.063 -1.108 4.723 -0.600 -1.808" Properties=species:S:1:pos:R:3 comment="meta-GGA SCAN AlMoOs2, PBEsol geometry" crystal_system=orthorhombic dft_energy_ev_per_atom=-46.811 sg=Imm2 delta_e_f_mev_per_atom=-211 pbc="T T T"
Mo 0.291 -2.832 -1.012
Os 1.971 -4.671 -0.049
Os 1.741 -1.887 0.946
Al 3.335 -2.627 -0.925

4
Lattice="-2.301 -1.064 -1.559 1.882 -1.482 -1.766 -0.308 -5.004 3.871" Properties=species:S:1:pos:R:3 comment="meta-GGA SCAN AlMoOs2, PBEsol geometry" crystal_system=tetragonal dft_energy_ev_per_atom=-46.973 sg=P4/mmm delta_e_f_mev_per_atom=-374 pbc="T T T"
Al -0.210 -1.273 -1.663
Mo -0.364 -3.775 0.273
Os -0.235 -3.807 2.945
Os -0.074 -1.197 0.926

4
Lattice="-1.207 -0.642 -2.787 3.819 -1.009 -1.421 -1.951 -3.367 3.349" Properties=species:S:1:pos:R:3 comment="meta-GGA SCAN AlMo2Os, PBEsol geometry" crystal_system=orthorhombic dft_energy_ev_per_atom=-37.680 sg=Immm delta_e_f_mev_per_atom=-330 pbc="T T T"
Mo -0.319 -2.073 0.615
Mo 0.980 -2.945 -1.475
Os -0.603 -0.321 -1.394
Al 1.910 -0.505 -0.710

5
Lattice="4.682 0.000 0.000 0.000 4.682 0.000 0.000 0.000 4.783" Properties=species:S:1:pos:R:3 comment="meta-GGA SCAN Al2MoOsSe, PBEsol geometry" crystal_system=tetragonal dft_energy_ev_per_atom=-27.961 sg=P4/mmm formation_energy_uncorrected_ev_per_atom=0.5083 pbc="T T T"
Os 0.000 0.000 0.000
Mo 0.000 0.000 2.391
Al 2.341 0.000 0.000
Al 0.000 2.341 0.000
Se 2.341 2.341 2.391

5
Lattice="4.663 0.000 0.000 0.000 4.663 0.000 0.000 0.000 5.335" Properties=species:S:1:pos:R:3 comment="meta-GGA SCAN SrAlMoOs2, PBEsol geometry" crystal_system=tetragonal dft_energy_ev_per_atom=-40.063 sg=P4/mmm delta_e_f_mev_per_atom=1671 pbc="T T T"
Sr 0.000 0.000 2.667
Os 0.000 2.331 0.000
Al 2.331 2.331 2.667
Os 2.331 0.000 0.000
Mo 0.000 0.000 0.000

4
Lattice="2.916 0.000 0.000 1.458 2.525 0.000 1.458 0.842 8.145" Properties=species:S:1:pos:R:3 comment="meta-GGA SCAN AlMo2P, PBEsol geometry" relative_energy_mev_per_atom=36.1 crystal_system=trigonal dft_energy_ev_per_atom=-22.003 sg=R3m delta_e_f_mev_per_atom=-23 pbc="T T T"
Al 4.374 2.525 6.065
Mo 4.374 2.525 0.016
Mo 1.458 0.842 2.194
P 2.916 1.684 3.942

4
Lattice="-1.290 0.379 -2.517 -1.498 -1.661 1.773 -3.645 6.289 2.815" Properties=species:S:1:pos:R:3 comment="meta-GGA SCAN AlMo2P, PBEsol geometry" relative_energy_mev_per_atom=0.0 crystal_system=orthorhombic dft_energy_ev_per_atom=-22.039 sg=Cmmm delta_e_f_mev_per_atom=-59 pbc="T T T"
P -3.216 2.504 1.035
Mo -1.006 1.736 0.777
Mo -2.639 4.554 2.038
Al -1.394 -0.641 -0.372

4
Lattice="3.085 0.000 0.000 -1.543 4.046 -0.016 0.000 -0.376 4.641" Properties=species:S:1:pos:R:3 comment="meta-GGA SCAN AlMoP2, PBEsol geometry" relative_energy_mev_per_atom=0.0 crystal_system=monoclinic dft_energy_ev_per_atom=-15.953 sg=C2/m delta_e_f_mev_per_atom=-94 pbc="T T T"
Al 0.000 -0.188 2.321
P 1.543 1.924 3.678
P 0.000 1.747 0.947
Mo 1.543 0.000 0.000

4
Lattice="-0.798 1.103 -2.543 -3.540 -2.465 0.042 -1.592 3.088 3.474" Properties=species:S:1:pos:R:3 comment="meta-GGA SCAN Al2MoP, PBEsol geometry" crystal_system=monoclinic dft_energy_ev_per_atom=-15.164 sg=C2/m delta_e_f_mev_per_atom=33 pbc="T T T"
Mo -0.399 0.551 -1.271
P -1.770 -1.232 0.021
Al -4.098 0.591 -0.094
Al -1.831 1.135 1.067

4
Lattice="-3.893 1.410 -0.556 0.595 -3.994 -1.072 1.250 -0.194 3.982" Properties=species:S:1:pos:R:3 comment="meta-GGA SCAN AlMoP2, PBEsol geometry" relative_energy_mev_per_atom=121.3 crystal_system=tetragonal dft_energy_ev_per_atom=-15.832 sg=I4/mmm delta_e_f_mev_per_atom=27 pbc="T T T"
Mo 0.923 -2.094 1.455
P -1.188 -2.339 -0.086
P -0.860 -0.439 2.441
Al 0.000 0.000 0.000

4
Lattice="-0.652 -0.269 -3.197 0.601 -3.870 0.203 -4.282 -0.616 0.925" Properties=species:S:1:pos:R:3 comment="meta-GGA SCAN AlMo2P, PBEsol geometry" relative_energy_mev_per_atom=55.4 crystal_system=orthorhombic dft_energy_ev_per_atom=-21.983 sg=Pmmm delta_e_f_mev_per_atom=-3 pbc="T T T"
Mo -2.467 -0.442 -1.136
P -0.026 -2.070 -1.497
Al -1.841 -2.243 0.564
Mo 0.000 0.000 0.000

4
Lattice="3.250 0.000 0.000 0.000 4.365 0.000 -1.625 -2.182 4.042" Properties=species:S:1:pos:R:3 comment="meta-GGA SCAN Al2MoP, PBEsol geometry" crystal_system=orthorhombic dft_energy_ev_per_atom=-15.337 sg=Imm2 delta_e_f_mev_per_atom=-140 pbc="T T T"
Al 1.625 0.000 2.005
Mo 1.625 2.182 0.147
P 0.000 2.182 2.000
Al 1.625 2.182 3.934

5
Lattice="-1.885 2.027 3.383 -4.182 0.674 -2.735 -1.790 -4.416 1.649" Properties=species:S:1:pos:R:3 comment="meta-GGA SCAN ScAl2MoP, PBEsol geometry" crystal_system=tetragonal dft_energy_ev_per_atom=-13.332 sg=P4/mmm delta_e_f_mev_per_atom=1673 pbc="T T T"
Mo -0.943 1.014 1.691
Al -2.091 0.337 -1.367
Sc 0.000 0.000 0.000
Al -0.895 -2.208 0.824
P -3.928 -0.857 1.148

4
Lattice="2.975 0.000 0.000 1.488 2.577 0.000 1.488 0.859 10.113" Properties=species:S:1:pos:R:3 comment="meta-GGA SCAN Al2MoPb, PBEsol geometry" crystal_system=trigonal dft_energy_ev_per_atom=-31.141 sg=R3m delta_e_f_mev_per_atom=402 pbc="T T T"
Al 4.463 2.577 7.416
Al 1.488 0.859 9.738
Pb 1.488 0.859 2.812
Mo 2.975 1.718 5.317

4
Lattice="3.103 0.000 0.000 1.551 2.687 0.000 1.551 0.896 8.931" Properties=species:S:1:pos:R:3 comment="meta-GGA SCAN AlMo2Pb, PBEsol geometry" relative_energy_mev_per_atom=0.0 crystal_system=trigonal dft_energy_ev_per_atom=-38.027 sg=R3m delta_e_f_mev_per_atom=299 pbc="T T T"
Mo 1.551 0.896 8.810
Pb 3.103 1.791 4.560
Mo 4.654 2.687 7.017
Al 1.551 0.896 1.940

4
Lattice="3.986 0.000 0.000 0.000 3.986 0.000 -1.993 -1.993 4.303" Properties=species:S:1:pos:R:3 comment="meta-GGA SCAN AlMo2Pb, PBEsol geometry" relative_energy_mev_per_atom=277.8 crystal_system=tetragonal dft_energy_ev_per_atom=-37.749 sg=I4/mmm delta_e_f_mev_per_atom=577 pbc="T T T"
Mo 0.000 1.993 2.152
Mo 1.993 0.000 2.152
Al 0.000 0.000 0.000
Pb 1.993 1.993 0.000

4
Lattice="-1.083 3.917 0.048 -3.451 -0.930 -1.935 0.393 -2.055 4.555" Properties=species:S:1:pos:R:3 comment="meta-GGA SCAN AlMo2Pb, PBEsol geometry" relative_energy_mev_per_atom=149.9 crystal_system=tetragonal dft_energy_ev_per_atom=-37.877 sg=I-4m2 delta_e_f_mev_per_atom=449 pbc="T T T"
Al -2.662 -0.746 0.838
Mo 0.000 0.000 0.000
Mo -1.478 1.678 1.830
Pb -2.267 1.493 -0.944